# 1
A plane-wave DFT calculation with PBE was carried out for an optimized crystal structure of RhS2Br.

Structure (extended XYZ):
```
4
Lattice="3.723 0.000 0.000 0.000 3.723 0.000 0.000 0.000 5.100" Properties=species:S:1:pos:R:3 pbc="T T T"
Rh 0.000 0.000 0.000
S 0.000 0.000 2.550
S 1.862 1.862 0.000
Br 1.862 1.862 2.550
```

Final energy, eV per atom: -3.841
Polymorph energy (0 for the lowest one), meV per atom: 813
Total magnetization, μB/f.u.: 0.000
Space-group type: No. 123
Calculated volume, Å³/atom: 17.7

---

# 2
A plane-wave DFT calculation with PBE was carried out for an optimized crystal structure of RhSBr2.

Structure (extended XYZ):
```
4
Lattice="1.931 1.115 7.591 -1.931 1.115 7.591 0.000 -2.230 7.591" Properties=species:S:1:pos:R:3 pbc="T T T"
Rh 0.000 0.000 0.000
S 0.000 0.000 11.387
Br 0.000 0.000 8.955
Br 0.000 0.000 13.819
```

Final energy, eV per atom: -3.318
Polymorph energy (0 for the lowest one), meV per atom: 0
Total magnetization, μB/f.u.: 0.000
Space-group type: No. 166
Calculated volume, Å³/atom: 24.5

---

# 3
A plane-wave DFT calculation with PBE was carried out for an optimized crystal structure of RhS2Br.

Structure (extended XYZ):
```
4
Lattice="4.692 0.000 0.000 0.000 4.692 0.000 0.000 0.000 3.012" Properties=species:S:1:pos:R:3 pbc="T T T"
Rh 0.000 0.000 0.000
S 0.000 2.346 1.506
S 2.346 0.000 1.506
Br 2.346 2.346 0.000
```

Final energy, eV per atom: -3.455
Polymorph energy (0 for the lowest one), meV per atom: 1200
Total magnetization, μB/f.u.: 0.000
Space-group type: No. 123
Calculated volume, Å³/atom: 16.6

---

# 4
A plane-wave DFT calculation with PBE was carried out for an optimized crystal structure of RhS2Br.

Structure (extended XYZ):
```
16
Lattice="6.612 0.000 0.000 0.000 4.550 0.000 0.000 0.000 11.034" Properties=species:S:1:pos:R:3 pbc="T T T"
Rh 0.204 1.137 1.379
Rh 3.102 3.412 6.896
Rh 3.510 1.137 4.138
Rh 6.408 3.412 9.654
S 0.578 3.412 0.870
S 1.251 1.137 3.513
S 2.054 3.412 9.030
S 2.728 1.137 6.387
S 3.884 3.412 4.647
S 4.557 1.137 2.003
S 5.360 3.412 7.520
S 6.034 1.137 10.164
Br 0.538 3.412 4.209
Br 2.768 1.137 9.726
Br 3.844 3.412 1.308
Br 6.074 1.137 6.825
```

Final energy, eV per atom: -4.295
Polymorph energy (0 for the lowest one), meV per atom: 359
Total magnetization, μB/f.u.: 0.000
Space-group type: No. 62
Calculated volume, Å³/atom: 20.7

---

# 5
A plane-wave DFT calculation with PBE was carried out for an optimized crystal structure of RhS2Br.

Structure (extended XYZ):
```
8
Lattice="3.593 0.000 0.000 0.000 6.991 0.000 -1.772 -2.983 7.623" Properties=species:S:1:pos:R:3 pbc="T T T"
Rh 0.000 0.000 0.000
Rh 0.024 0.968 7.593
S 0.026 -0.364 5.674
S 0.025 -2.261 6.329
S 1.796 5.983 1.312
S 1.820 1.998 6.560
Br 0.000 2.438 1.277
Br 0.024 3.673 4.266
```

Final energy, eV per atom: -4.561
Polymorph energy (0 for the lowest one), meV per atom: 93
Total magnetization, μB/f.u.: 0.000
Space-group type: No. 1
Calculated volume, Å³/atom: 23.9

---

# 6
A plane-wave DFT calculation with PBE was carried out for an optimized crystal structure of RhS2Br.

Structure (extended XYZ):
```
4
Lattice="1.407 0.812 12.487 -1.407 0.812 12.487 0.000 -1.625 12.487" Properties=species:S:1:pos:R:3 pbc="T T T"
Rh 0.000 0.000 0.000
S 0.000 0.000 2.255
S 0.000 0.000 35.205
Br 0.000 0.000 18.730
```

Final energy, eV per atom: -3.960
Polymorph energy (0 for the lowest one), meV per atom: 694
Total magnetization, μB/f.u.: 0.000
Space-group type: No. 166
Calculated volume, Å³/atom: 21.4

---

# 7
A plane-wave DFT calculation with PBE was carried out for an optimized crystal structure of RhS2Br.

Structure (extended XYZ):
```
4
Lattice="3.631 0.000 0.000 -1.425 4.309 0.000 -0.125 -1.703 6.421" Properties=species:S:1:pos:R:3 pbc="T T T"
Rh 0.000 0.000 0.000
S -0.777 2.152 0.701
S 1.802 0.536 1.409
Br 0.242 2.398 4.621
```

Final energy, eV per atom: -4.556
Polymorph energy (0 for the lowest one), meV per atom: 98
Total magnetization, μB/f.u.: 0.000
Space-group type: No. 1
Calculated volume, Å³/atom: 25.1

---

# 8
A plane-wave DFT calculation with PBE was carried out for an optimized crystal structure of RhS2Br.

Structure (extended XYZ):
```
4
Lattice="0.000 3.218 3.218 3.218 0.000 3.218 3.218 3.218 0.000" Properties=species:S:1:pos:R:3 pbc="T T T"
Rh 0.000 0.000 0.000
S 1.609 1.609 1.609
S 4.827 4.827 4.827
Br 3.218 3.218 3.218
```

Final energy, eV per atom: -3.455
Polymorph energy (0 for the lowest one), meV per atom: 1199
Total magnetization, μB/f.u.: 0.000
Space-group type: No. 225
Calculated volume, Å³/atom: 16.7

---

# 9
A plane-wave DFT calculation with PBE was carried out for an optimized crystal structure of RhS2Br.

Structure (extended XYZ):
```
4
Lattice="3.663 0.000 0.000 -1.831 3.172 0.000 0.000 0.000 7.587" Properties=species:S:1:pos:R:3 pbc="T T T"
Rh 0.000 0.000 0.000
S 0.000 2.115 6.587
S 1.831 1.057 1.230
Br 0.000 2.115 4.356
```

Final energy, eV per atom: -4.583
Polymorph energy (0 for the lowest one), meV per atom: 71
Total magnetization, μB/f.u.: 0.000
Space-group type: No. 156
Calculated volume, Å³/atom: 22.0

---

# 10
A plane-wave DFT calculation with PBE was carried out for an optimized crystal structure of Rh3SBr.

Structure (extended XYZ):
```
5
Lattice="4.465 0.000 0.000 0.000 4.465 0.000 0.000 0.000 4.465" Properties=species:S:1:pos:R:3 pbc="T T T"
Rh 0.000 0.000 2.233
Rh 0.000 2.233 0.000
Rh 2.233 0.000 0.000
S 0.000 0.000 0.000
Br 2.233 2.233 2.233
```

Final energy, eV per atom: -5.162
Polymorph energy (0 for the lowest one), meV per atom: 0
Total magnetization, μB/f.u.: 0.000
Space-group type: No. 221
Calculated volume, Å³/atom: 17.8

---

# 11
A plane-wave DFT calculation with PBE was carried out for an optimized crystal structure of RhS2Br.

Structure (extended XYZ):
```
8
Lattice="3.353 -6.059 0.000 3.353 6.059 0.000 -0.730 0.000 5.275" Properties=species:S:1:pos:R:3 pbc="T T T"
Rh 2.805 5.912 3.956
Rh 3.170 -5.912 1.319
S 0.762 1.379 2.930
S 1.127 -1.379 0.293
S 4.849 1.379 4.982
S 5.214 -1.379 2.345
Br 3.170 2.318 1.319
Br 2.805 -2.318 3.956
```

Final energy, eV per atom: -4.288
Polymorph energy (0 for the lowest one), meV per atom: 366
Total magnetization, μB/f.u.: 0.000
Space-group type: No. 15
Calculated volume, Å³/atom: 26.8

---

# 12
A plane-wave DFT calculation with PBE was carried out for an optimized crystal structure of RhS2Br.

Structure (extended XYZ):
```
16
Lattice="5.595 0.000 0.000 0.000 6.318 0.000 -5.592 0.000 10.543" Properties=species:S:1:pos:R:3 pbc="T T T"
Rh -1.397 0.405 4.243
Rh -4.193 2.754 9.515
Rh 4.196 3.565 1.029
Rh 1.399 5.913 6.300
S -1.993 0.411 6.535
S 0.803 2.748 1.263
S 1.992 4.314 0.632
S -0.804 5.163 5.903
S 0.807 1.155 4.640
S -1.989 2.004 9.912
S -0.800 3.570 9.280
S 1.996 5.907 4.008
Br -3.608 3.539 7.140
Br -0.812 5.939 1.869
Br 0.814 0.379 8.675
Br 3.611 2.780 3.403
```

Final energy, eV per atom: -4.654
Polymorph energy (0 for the lowest one), meV per atom: 0
Total magnetization, μB/f.u.: 0.000
Space-group type: No. 14
Calculated volume, Å³/atom: 23.3

---

# 13
A plane-wave DFT calculation with PBE was carried out for an optimized crystal structure of RhS2Br.

Structure (extended XYZ):
```
8
Lattice="3.582 0.000 0.000 -1.675 6.291 0.000 -1.219 -3.000 8.820" Properties=species:S:1:pos:R:3 pbc="T T T"
Rh 0.000 0.000 0.000
Rh -0.491 2.900 6.333
S -0.649 -1.923 6.829
S -1.094 1.888 8.333
S 0.366 2.832 4.085
S 1.285 1.585 5.348
Br -1.571 5.308 2.306
Br 1.812 1.719 0.789
```

Final energy, eV per atom: -4.557
Polymorph energy (0 for the lowest one), meV per atom: 97
Total magnetization, μB/f.u.: 0.000
Space-group type: No. 1
Calculated volume, Å³/atom: 24.8

---

# 14
A plane-wave DFT calculation with PBE was carried out for an optimized crystal structure of RhS2Br.

Structure (extended XYZ):
```
8
Lattice="3.592 0.000 0.000 -0.013 6.981 0.000 -1.201 -3.462 8.281" Properties=species:S:1:pos:R:3 pbc="T T T"
Rh 0.000 0.000 0.000
Rh 0.587 -0.344 8.179
S 0.521 1.003 6.317
S 0.578 2.939 6.823
S 1.790 1.031 1.177
S 2.382 -1.436 7.149
Br -0.008 4.598 1.186
Br 1.676 0.882 3.428
```

Final energy, eV per atom: -4.633
Polymorph energy (0 for the lowest one), meV per atom: 21
Total magnetization, μB/f.u.: 0.000
Space-group type: No. 1
Calculated volume, Å³/atom: 26.0

---

# 15
A plane-wave DFT calculation with PBE was carried out for an optimized crystal structure of RhS2Br.

Structure (extended XYZ):
```
4
Lattice="1.885 1.088 6.872 -1.885 1.088 6.872 0.000 -2.177 6.872" Properties=species:S:1:pos:R:3 pbc="T T T"
Rh 0.000 0.000 0.000
S 0.000 0.000 2.337
S 0.000 0.000 14.786
Br 0.000 0.000 11.818
```

Final energy, eV per atom: -3.999
Polymorph energy (0 for the lowest one), meV per atom: 655
Total magnetization, μB/f.u.: 0.000
Space-group type: No. 160
Calculated volume, Å³/atom: 21.2

---

# 16
A plane-wave DFT calculation with PBE was carried out for an optimized crystal structure of RhS2Br.

Structure (extended XYZ):
```
8
Lattice="1.291 -16.618 0.000 1.291 16.618 0.000 0.000 0.000 4.659" Properties=species:S:1:pos:R:3 pbc="T T T"
Rh 1.291 15.754 3.494
Rh 1.291 -15.754 1.165
S 1.291 15.161 1.165
S 1.291 13.379 3.494
S 1.291 -13.379 1.165
S 1.291 -15.161 3.494
Br 1.291 6.569 3.494
Br 1.291 -6.569 1.165
```

Final energy, eV per atom: -4.138
Polymorph energy (0 for the lowest one), meV per atom: 516
Total magnetization, μB/f.u.: 0.000
Space-group type: No. 63
Calculated volume, Å³/atom: 25.0

---

# 17
A plane-wave DFT calculation with PBE was carried out for an optimized crystal structure of RhS2Br.

Structure (extended XYZ):
```
8
Lattice="-2.546 2.546 5.613 2.546 -2.546 5.613 2.546 2.546 -5.613" Properties=species:S:1:pos:R:3 pbc="T T T"
Rh 2.546 1.273 1.403
Rh 0.000 1.273 4.210
S 2.546 1.273 -0.954
S 0.000 1.273 1.852
S 2.546 1.273 3.761
S 0.000 1.273 6.567
Br 2.546 -1.273 4.210
Br 0.000 3.818 1.403
```

Final energy, eV per atom: -4.222
Polymorph energy (0 for the lowest one), meV per atom: 432
Total magnetization, μB/f.u.: 0.000
Space-group type: No. 141
Calculated volume, Å³/atom: 18.2

---

# 18
A plane-wave DFT calculation with PBE was carried out for an optimized crystal structure of RhS2Br.

Structure (extended XYZ):
```
4
Lattice="4.469 0.000 0.000 0.000 3.633 0.000 -1.450 0.000 5.025" Properties=species:S:1:pos:R:3 pbc="T T T"
Rh 0.000 0.000 0.000
S 1.410 1.800 0.616
S 1.609 1.800 4.409
Br -0.725 3.362 2.512
```

Final energy, eV per atom: -4.558
Polymorph energy (0 for the lowest one), meV per atom: 96
Total magnetization, μB/f.u.: 0.000
Space-group type: No. 3
Calculated volume, Å³/atom: 20.4

---

# 19
A plane-wave DFT calculation with PBE was carried out for an optimized crystal structure of RhS2Br.

Structure (extended XYZ):
```
16
Lattice="7.823 0.000 0.000 0.000 3.617 0.000 0.000 0.000 14.830" Properties=species:S:1:pos:R:3 pbc="T T T"
Rh 0.420 0.904 1.397
Rh 3.492 2.713 8.812
Rh 4.331 0.904 6.018
Rh 7.403 2.713 13.434
S 1.060 0.904 14.000
S 1.617 2.713 2.167
S 2.295 0.904 9.582
S 2.852 2.713 6.585
S 4.971 0.904 8.246
S 5.528 2.713 5.248
S 6.206 0.904 12.663
S 6.763 2.713 0.831
Br 0.089 0.904 9.076
Br 3.823 2.713 1.661
Br 4.000 0.904 13.169
Br 7.734 2.713 5.754
```

Final energy, eV per atom: -4.465
Polymorph energy (0 for the lowest one), meV per atom: 189
Total magnetization, μB/f.u.: 0.000
Space-group type: No. 62
Calculated volume, Å³/atom: 26.2

---

# 20
A plane-wave DFT calculation with PBE was carried out for an optimized crystal structure of RhS2Br.

Structure (extended XYZ):
```
16
Lattice="6.527 0.000 0.000 0.000 4.803 0.000 -6.460 0.000 12.321" Properties=species:S:1:pos:R:3 pbc="T T T"
Rh -0.789 1.157 3.080
Rh -4.018 1.244 9.240
Rh 4.085 3.559 3.081
Rh 0.856 3.646 9.241
S 0.654 2.733 2.329
S -2.576 4.472 8.489
S -2.577 2.821 9.990
S 0.653 4.384 3.829
S -0.586 0.419 8.492
S 2.644 1.983 2.331
S 2.643 0.331 3.832
S -0.587 2.071 9.992
Br -4.844 0.044 11.311
Br -1.614 2.357 5.150
Br 1.681 2.446 7.171
Br 4.911 4.759 1.010
```

Final energy, eV per atom: -4.358
Polymorph energy (0 for the lowest one), meV per atom: 296
Total magnetization, μB/f.u.: 0.000
Space-group type: No. 14
Calculated volume, Å³/atom: 24.1

---

# 21
A plane-wave DFT calculation with PBE was carried out for an optimized crystal structure of RhS2Br.

Structure (extended XYZ):
```
4
Lattice="1.834 1.059 7.155 -1.834 1.059 7.155 0.000 -2.117 7.155" Properties=species:S:1:pos:R:3 pbc="T T T"
Rh 0.000 0.000 0.000
S 0.000 0.000 8.272
S 0.000 0.000 13.194
Br 0.000 0.000 10.733
```

Final energy, eV per atom: -4.608
Polymorph energy (0 for the lowest one), meV per atom: 46
Total magnetization, μB/f.u.: 0.000
Space-group type: No. 166
Calculated volume, Å³/atom: 20.8

---

# 22
A plane-wave DFT calculation with PBE was carried out for an optimized crystal structure of RhS2Br.

Structure (extended XYZ):
```
4
Lattice="3.196 -1.741 0.000 3.196 1.741 0.000 -3.192 0.000 6.988" Properties=species:S:1:pos:R:3 pbc="T T T"
Rh 0.000 0.000 0.000
S 2.048 0.000 1.191
S 1.152 0.000 5.798
Br -1.596 0.000 3.494
```

Final energy, eV per atom: -4.409
Polymorph energy (0 for the lowest one), meV per atom: 245
Total magnetization, μB/f.u.: 0.000
Space-group type: No. 12
Calculated volume, Å³/atom: 19.4

---

# 23
A plane-wave DFT calculation with PBE was carried out for an optimized crystal structure of RhSBr3.

Structure (extended XYZ):
```
5
Lattice="5.123 0.000 0.000 0.000 5.123 0.000 0.000 0.000 5.123" Properties=species:S:1:pos:R:3 pbc="T T T"
Rh 0.000 0.000 0.000
S 2.562 2.562 2.562
Br 0.000 2.562 2.562
Br 2.562 0.000 2.562
Br 2.562 2.562 0.000
```

Final energy, eV per atom: -2.468
Polymorph energy (0 for the lowest one), meV per atom: 345
Total magnetization, μB/f.u.: 1.932
Space-group type: No. 221
Calculated volume, Å³/atom: 26.9

---

# 24
A plane-wave DFT calculation with PBE was carried out for an optimized crystal structure of RhS2Br.

Structure (extended XYZ):
```
8
Lattice="-3.257 3.257 4.374 3.257 -3.257 4.374 3.257 3.257 -4.374" Properties=species:S:1:pos:R:3 pbc="T T T"
Rh 0.000 0.000 0.000
Rh 0.000 3.257 2.187
S 4.885 1.063 -1.094
S 1.063 1.628 1.094
S -1.628 2.194 3.281
S 2.194 1.628 5.468
Br 3.257 0.000 2.187
Br 0.000 0.000 4.374
```

Final energy, eV per atom: -4.243
Polymorph energy (0 for the lowest one), meV per atom: 412
Total magnetization, μB/f.u.: 0.000
Space-group type: No. 122
Calculated volume, Å³/atom: 23.2

---

# 25
A plane-wave DFT calculation with PBE was carried out for an optimized crystal structure of RhS2Br.

Structure (extended XYZ):
```
8
Lattice="1.686 -12.503 0.000 1.686 12.503 0.000 0.000 0.000 3.842" Properties=species:S:1:pos:R:3 pbc="T T T"
Rh 1.686 7.782 2.881
Rh 1.686 -7.782 0.960
S 1.686 5.339 2.881
S 1.686 3.115 0.960
S 1.686 -3.115 2.881
S 1.686 -5.339 0.960
Br 1.686 1.124 2.881
Br 1.686 -1.124 0.960
```

Final energy, eV per atom: -4.185
Polymorph energy (0 for the lowest one), meV per atom: 469
Total magnetization, μB/f.u.: 0.000
Space-group type: No. 63
Calculated volume, Å³/atom: 20.2